#1
The following is a DFT calculation (PBE) of crystalline LiLaMg2Ni at its relaxed geometry.

The structure in POSCAR format:
```
LiLaMg2Ni
1.0
-4.268 -2.340 1.474
2.746 -3.263 2.770
-0.329 3.124 4.006
Li Ni Mg La
1 1 2 1
Cartesian
-0.925 -1.239 4.125 Li
0.000 0.000 0.000 Ni
1.373 -1.632 1.385 Mg
-2.134 -1.170 0.737 Mg
-0.164 1.562 2.003 La
```

Computed properties:
* space group: P4/mmm, No. 123

---

#2
The following is a DFT calculation (PBE) of crystalline LiLaMg2Ni at its relaxed geometry.

The structure in POSCAR format:
```
LiLaMg2Ni
1.0
-4.701 0.575 -1.214
0.289 -3.883 -2.957
-1.288 -2.861 3.631
Mg Ni Li La
2 1 1 1
Cartesian
-2.350 0.288 -0.607 Mg
0.144 -1.941 -1.478 Mg
0.000 0.000 0.000 Ni
-0.644 -1.430 1.816 Li
-2.850 -3.084 -0.270 La
```

Computed properties:
* space group: P4/mmm, No. 123

---

Stability, descending: #1, #2